Entry 1:
This record from the Alexandria database describes a relaxed Na3Tb3InS8 crystal. The functional is GGA-PBE.

abc: 7.9200 7.9201 8.1415
angles: 119.13 90.00 120.00
Sites, in units of the cell vectors:
S  0.2364  0.9868  0.7230
S  0.7504  0.9868  0.7230
S  0.7636  0.5272  0.2770
S  0.2364  0.4728  0.7230
S  0.7425  0.4851  0.7274
S  0.2496  0.0132  0.2770
S  0.7636  0.0132  0.2770
S  0.2575  0.5149  0.2726
Na  0.5000  0.5000  0.0000
Na  0.0000  0.0000  0.0000
Na  0.0000  0.5000  0.0000
Tb  0.5000  0.5000  0.5000
Tb  0.0000  0.5000  0.5000
Tb  0.5000  0.0000  0.5000
In  0.0000  0.0000  0.5000

Values from the calculation:
- Formation energy (no corrections): -1472.4 meV/atom
- M_tot: 0.00 Bohr magnetons per cell

Entry 2:
This record from the Alexandria database describes a relaxed La2BiAs2 crystal. The functional is GGA-PBE.

abc: 4.1447 4.1447 8.8708
angles: 76.49 76.49 90.00
Sites, in units of the cell vectors:
As  0.7500  0.2500  0.5000
As  0.2500  0.7500  0.5000
La  0.6113  0.6113  0.7773
La  0.3887  0.3887  0.2227
Bi  0.0000  0.0000  0.0000

Values from the calculation:
- ΔE_f: -0.966 eV/atom
- Offset from the most stable computed form: 0.113 eV/atom
- M_tot: 0.00 Bohr magnetons per cell

Entry 3:
This record from the Alexandria database describes a relaxed AcPmZn4 crystal. The functional is GGA-PBE.

abc: 4.3184 4.3184 8.3597
angles: 104.97 104.97 90.00
Sites, in units of the cell vectors:
Zn  0.8379  0.3379  0.6757
Zn  0.5791  0.5791  0.1582
Zn  0.6621  0.1621  0.3243
Zn  0.4209  0.4209  0.8418
Pm  0.0000  0.0000  0.0000
Ac  0.2500  0.7500  0.5000

Values from the calculation:
- ΔE_f: -0.283 eV/atom
- Offset from the most stable computed form: 0.000 eV/atom
- M_tot: 0.00 Bohr magnetons per cell

Entry 4:
This record from the Alexandria database describes a relaxed HfZrP3 crystal. The functional is GGA-PBE.

abc: 4.8735 4.8735 4.8735
angles: 90.00 90.00 90.00
Sites, in units of the cell vectors:
P  0.0000  0.0000  0.5000
P  0.5000  0.0000  0.0000
P  0.0000  0.5000  0.0000
Hf  0.5000  0.5000  0.5000
Zr  0.0000  0.0000  0.0000

Values from the calculation:
- ΔE_f: 0.430 eV/atom
- Offset from the most stable computed form: 0.212 eV/atom
- M_tot: 0.00 Bohr magnetons per cell

Entry 5:
This record from the Alexandria database describes a relaxed Rb4ClF2 crystal. The functional is GGA-PBE.

abc: 6.1344 6.1344 8.7817
angles: 69.56 69.56 90.00
Sites, in units of the cell vectors:
F  0.3936  0.3936  0.2127
F  0.6064  0.6064  0.7873
Rb  0.2300  0.2300  0.5400
Rb  0.0000  0.5000  0.0000
Rb  0.5000  0.0000  0.0000
Rb  0.7700  0.7700  0.4600
Cl  0.0000  0.0000  0.0000

Values from the calculation:
- Formation energy (no corrections): -1806.4 meV/atom
- M_tot: 0.00 Bohr magnetons per cell

Entry 6:
This record from the Alexandria database describes a relaxed MnReAg crystal. The functional is GGA-PBE.

abc: 4.1426 4.1426 4.1426
angles: 60.00 60.00 60.00
Sites, in units of the cell vectors:
Re  0.0000  0.0000  0.0000
Ag  0.5000  0.5000  0.5000
Mn  0.7500  0.7500  0.7500

Values from the calculation:
- ΔE_f: 0.950 eV/atom
- Offset from the most stable computed form: 0.560 eV/atom
- M_tot: 1.29 Bohr magnetons per cell

Entry 7:
This record from the Alexandria database describes a relaxed Ba2LiIO6 crystal. The functional is GGA-PBE.

abc: 5.8727 5.8727 5.8727
angles: 60.00 60.00 60.00
Sites, in units of the cell vectors:
O  0.7696  0.7696  0.2304
O  0.7696  0.2304  0.2304
O  0.7696  0.2304  0.7696
O  0.2304  0.7696  0.7696
O  0.2304  0.2304  0.7696
O  0.2304  0.7696  0.2304
Ba  0.7500  0.7500  0.7500
Ba  0.2500  0.2500  0.2500
I  0.0000  0.0000  0.0000
Li  0.5000  0.5000  0.5000

Values from the calculation:
- Formation energy (no corrections): -1810.5 meV/atom
- M_tot: 0.00 Bohr magnetons per cell

Entry 8:
This record from the Alexandria database describes a relaxed ScTiTlW2 crystal. The functional is GGA-PBE.

abc: 4.6412 5.1684 4.6412
angles: 90.00 90.00 90.00
Sites, in units of the cell vectors:
Ti  0.5000  0.5000  0.5000
W  0.0000  0.0000  0.5000
W  0.5000  0.0000  0.0000
Sc  0.0000  0.0000  0.0000
Tl  0.0000  0.5000  0.0000

Values from the calculation:
- ΔE_f: 2.036 eV/atom
- M_tot: 0.00 Bohr magnetons per cell